{"formula": "K3YMn", "functional": "PBE", "state": "optimized geometry", "mass_density_g_cm3": 1.13, "delta_e_f_mev_per_atom": 1429, "space_group": "Pm-3m", "cell": [[-5.903, -3.920, 1.608], [4.002, -4.251, 4.326], [-1.393, 4.400, 5.612]], "species": ["Y", "Mn", "K", "K", "K"], "frac_coords": [[0.000, 0.000, 0.000], [0.500, 0.500, 0.500], [0.000, 0.000, 0.500], [0.000, 0.500, 0.000], [0.500, 0.000, 0.000]]}

{"formula": "AlGaAsBr2", "functional": "PBE", "state": "optimized geometry", "de_polymorph_mev_per_atom": 0.0, "mass_density_g_cm3": 4.14, "space_group": "P4/mmm", "cell": [[5.185, 0.000, 0.000], [0.000, 5.185, 0.000], [0.000, 0.000, 4.945]], "species": ["Br", "Ga", "Br", "Al", "As"], "frac_coords": [[0.500, 0.000, 0.000], [0.500, 0.500, 0.500], [0.000, 0.500, 0.000], [0.000, 0.000, 0.000], [0.000, 0.000, 0.500]]}

{"formula": "InCu2Ag", "functional": "PBE", "state": "optimized geometry", "mass_density_g_cm3": 8.95, "delta_e_f_mev_per_atom": 114, "space_group": "C2/m", "cell": [[4.907, 0.042, 0.054], [3.935, 2.932, 0.054], [1.267, 0.426, 4.580]], "species": ["Ag", "Cu", "Cu", "In"], "frac_coords": [[0.250, 0.250, 0.250], [0.000, 0.000, 0.006], [0.500, 0.500, 0.494], [0.750, 0.750, 0.750]]}

{"formula": "Rb3Np2PaS6", "functional": "PBE", "state": "optimized geometry", "mass_density_g_cm3": 5.70, "dft_energy_ev_per_atom": -6.664, "space_group": "C2/m", "cell": [[-0.835, 5.827, 3.947], [-3.487, -5.939, 1.669], [7.336, -2.161, 2.622]], "species": ["Np", "Rb", "Np", "S", "S", "Rb", "S", "S", "Pa", "Rb", "S", "S"], "frac_coords": [[0.333, 0.667, 0.000], [0.168, 0.832, 0.500], [0.667, 0.333, 0.000], [0.936, 0.608, 0.807], [0.392, 0.064, 0.193], [0.832, 0.168, 0.500], [0.608, 0.936, 0.807], [0.064, 0.392, 0.193], [0.000, 0.000, 0.000], [0.500, 0.500, 0.500], [0.263, 0.263, 0.807], [0.737, 0.737, 0.193]]}